DFT (GGA-PBE) results for a geometry-optimized MnIn2Br structure.

Unit cell a=3.2754 b=3.2754 c=9.5752 alpha=90.00 beta=90.00 gamma=90.00
Space group P4mm (No. 99)
Inequivalent atoms, fractional coordinates:
Mn: 0.0000 0.0000 0.0000 x1
In: 0.0000 0.0000 0.5268 x1
In: 0.5000 0.5000 0.7941 x1
Br: 0.5000 0.5000 0.1607 x1

Properties
* D(E_F): 2.2 states/eV/f.u.
* formation energy without anion corrections: 0.035 eV per formula unit

DFT (GGA-PBE) results for a geometry-optimized Nb2TcH structure.

Unit cell a=6.1786 b=6.1786 c=6.1786 alpha=90.00 beta=90.00 gamma=90.00
Space group Fm-3m (No. 225)
Inequivalent atoms, fractional coordinates:
Nb: 0.2500 0.2500 0.2500 x8
Tc: 0.0000 0.0000 0.0000 x4
H: 0.0000 0.0000 0.5000 x4

Properties
* D(E_F): 2.5 states/eV/f.u.
* final energy: -8.0225 eV/atom

DFT (GGA-PBE) results for a geometry-optimized Li2ScSnO4 structure.

Unit cell a=4.3292 b=4.3292 c=9.8012 alpha=90.00 beta=90.00 gamma=90.00
Space group I-4m2 (No. 119)
Inequivalent atoms, fractional coordinates:
Li: 0.0000 0.0000 0.0000 x2
Li: 0.0000 0.5000 0.2500 x2
Sc: 0.0000 0.5000 0.7500 x2
Sn: 0.0000 0.0000 0.5000 x2
O: 0.0000 0.0000 0.2593 x4
O: 0.0000 0.5000 0.5290 x4

Properties
* D(E_F): 1.4 states/eV/f.u.
* formation energy without anion corrections: -17.682 eV per formula unit

DFT (GGA-PBE) results for a geometry-optimized LaTi2H2 structure.

Unit cell a=3.4794 b=3.4794 c=12.2385 alpha=90.00 beta=90.00 gamma=90.00
Space group I4/mmm (No. 139)
Inequivalent atoms, fractional coordinates:
La: 0.0000 0.0000 0.0000 x2
Ti: 0.0000 0.0000 0.3114 x4
H: 0.0000 0.5000 0.2500 x4

Properties
* D(E_F): 4.7 states/eV/f.u.
* final energy: -5.5906 eV/atom